[1]
Below is a relaxed Si2O crystal, with properties calculated at the PBE-GGA level.

Cell lengths 3.9005, 3.9005, 4.6513 Å; angles 113.82, 113.82, 41.99 degrees
With the nearest neighbours (Å) after each atom.
Fractional coordinates of all 3 atoms:
Si1 0.0000 0.0000 0.0000  1 O 1.78
Si2 0.6443 0.6443 0.7244  2 O 1.90
O1 0.0879 0.0879 0.4223  3 Si 1.78-1.90

Properties
Magnetization (μB/atom): 0.000
ΔE to the lowest computed polymorph (meV per atom): 0.0
Energy relative to the elements, uncorrected (kcal/mol of atoms): -14.8
Crystal system: monoclinic

=====

[2]
Below is a relaxed SiO2 crystal, with properties calculated at the PBE-GGA level.

Cell lengths 4.9660, 4.9660, 6.6842 Å; angles 90.00, 90.00, 120.00 degrees
With the nearest neighbours (Å) after each atom.
Fractional coordinates of all 9 atoms:
Si1 0.0000 0.9170 0.3333  2 O 1.73
Si2 0.0830 0.0830 0.0000  2 O 1.73
Si3 0.9170 0.0000 0.6667  2 O 1.73
O1 0.1002 0.4244 0.9263  1 O 1.51
O2 0.3242 0.8998 0.2597  1 O 1.51
O3 0.4244 0.1002 0.0737  1 O 1.51
O4 0.5756 0.6758 0.5930  1 O 1.51
O5 0.6758 0.5756 0.4070  1 O 1.51
O6 0.8998 0.3242 0.7403  1 O 1.51

Properties
Magnetization (μB/atom): 0.000
Energy relative to the elements, uncorrected (kcal/mol of atoms): -12.1
Crystal system: trigonal

=====

[3]
Below is a relaxed SiO2 crystal, with properties calculated at the PBE-GGA level.

Cell lengths 5.0212, 5.0212, 5.5101 Å; angles 90.00, 90.00, 120.00 degrees
With the nearest neighbours (Å) after each atom.
Fractional coordinates of all 9 atoms:
Si1 0.0000 0.4763 0.1667  4 O 1.63
Si2 0.4763 0.0000 0.8333  4 O 1.63
Si3 0.5237 0.5237 0.5000  4 O 1.63
O1 0.1588 0.7439 0.9612  2 Si 1.63
O2 0.2561 0.4149 0.2946  2 Si 1.63
O3 0.4149 0.2561 0.7054  2 Si 1.63
O4 0.5851 0.8412 0.6279  2 Si 1.63
O5 0.7439 0.1588 0.0388  2 Si 1.63
O6 0.8412 0.5851 0.3721  2 Si 1.63

Properties
Magnetization (μB/atom): 0.000
Energy relative to the elements, uncorrected (kcal/mol of atoms): -64.4
Crystal system: trigonal

=====

[4]
Below is a relaxed SiO2 crystal, with properties calculated at the PBE-GGA level.

Cell lengths 4.4871, 4.4871, 4.4871 Å; angles 90.00, 90.00, 90.00 degrees
With the nearest neighbours (Å) after each atom.
Fractional coordinates of all 12 atoms:
Si1 0.0000 0.0000 0.0000  6 O 1.83
Si2 0.0000 0.5000 0.5000  6 O 1.83
Si3 0.5000 0.0000 0.5000  6 O 1.83
Si4 0.5000 0.5000 0.0000  6 O 1.83
O1 0.1562 0.6562 0.8438  3 Si 1.83
O2 0.1562 0.8438 0.3438  3 Si 1.83
O3 0.3438 0.1562 0.8438  3 Si 1.83
O4 0.3438 0.3438 0.3438  3 Si 1.83
O5 0.6562 0.6562 0.6562  3 Si 1.83
O6 0.6562 0.8438 0.1562  3 Si 1.83
O7 0.8438 0.1562 0.6562  3 Si 1.83
O8 0.8438 0.3438 0.1562  3 Si 1.83

Properties
Magnetization (μB/atom): 0.000
Energy relative to the elements, uncorrected (kcal/mol of atoms): -51.4
Crystal system: cubic

=====

[5]
Below is a relaxed SiO2 crystal, with properties calculated at the PBE-GGA level.

Cell lengths 7.6255, 4.2256, 8.4902 Å; angles 90.00, 90.00, 90.00 degrees
With the nearest neighbours (Å) after each atom.
Fractional coordinates of all 24 atoms:
Si1 0.1191 0.2319 0.1153  4 O 1.62-1.67
Si2 0.1191 0.7681 0.6153  4 O 1.62-1.67
Si3 0.3809 0.2319 0.6153  4 O 1.62-1.67
Si4 0.3809 0.7681 0.1153  4 O 1.62-1.67
Si5 0.6191 0.2319 0.8847  4 O 1.62-1.67
Si6 0.6191 0.7681 0.3847  4 O 1.62-1.67
Si7 0.8809 0.2319 0.3847  4 O 1.62-1.67
Si8 0.8809 0.7681 0.8847  4 O 1.62-1.67
O1 0.0000 0.0000 0.0000  2 Si 1.66
O2 0.0000 0.0000 0.5000  2 Si 1.66
O3 0.0000 0.4058 0.2500  2 Si 1.64
O4 0.0000 0.5942 0.7500  2 Si 1.64
O5 0.2500 0.0000 0.2123  2 Si 1.62
O6 0.2500 0.0000 0.7123  2 Si 1.62
O7 0.2500 0.5000 0.0319  2 Si 1.67
O8 0.2500 0.5000 0.5319  2 Si 1.67
O9 0.5000 0.0000 0.0000  2 Si 1.66
O10 0.5000 0.0000 0.5000  2 Si 1.66
O11 0.5000 0.4058 0.7500  2 Si 1.64
O12 0.5000 0.5942 0.2500  2 Si 1.64
O13 0.7500 0.0000 0.2877  2 Si 1.62
O14 0.7500 0.0000 0.7877  2 Si 1.62
O15 0.7500 0.5000 0.4681  2 Si 1.67
O16 0.7500 0.5000 0.9681  2 Si 1.67

Properties
Magnetization (μB/atom): 0.000
Energy relative to the elements, uncorrected (kcal/mol of atoms): -60.2
Crystal system: orthorhombic

=====

[6]
Below is a relaxed SiO2 crystal, with properties calculated at the PBE-GGA level.

Cell lengths 5.4695, 5.4695, 5.4891 Å; angles 96.42, 96.42, 99.84 degrees
With the nearest neighbours (Å) after each atom.
Fractional coordinates of all 12 atoms:
Si1 0.0516 0.9484 0.5000  4 O 1.62-1.64
Si2 0.3645 0.5144 0.5746  4 O 1.62-1.64
Si3 0.5144 0.3645 0.0746  4 O 1.62-1.64
Si4 0.9484 0.0516 0.0000  4 O 1.62-1.64
O1 0.1609 0.2507 0.5291  2 Si 1.64
O2 0.2507 0.1609 0.0291  2 Si 1.64
O3 0.2543 0.7661 0.5330  2 Si 1.62
O4 0.4890 0.5526 0.8644  2 Si 1.64
O5 0.5526 0.4890 0.3644  2 Si 1.64
O6 0.7661 0.2543 0.0330  2 Si 1.62
O7 0.8720 0.9062 0.7170  2 Si 1.64
O8 0.9062 0.8720 0.2170  2 Si 1.64

Properties
Magnetization (μB/atom): 0.000
Energy relative to the elements, uncorrected (kcal/mol of atoms): -62.6
Crystal system: monoclinic

=====

[7]
Below is a relaxed SiO2 crystal, with properties calculated at the PBE-GGA level.

Cell lengths 6.9542, 4.1317, 5.0759 Å; angles 90.00, 101.68, 90.00 degrees
With the nearest neighbours (Å) after each atom.
Fractional coordinates of all 18 atoms:
Si1 0.0000 0.0000 0.0000  6 O 1.77-1.84
Si2 0.0000 0.5000 0.5000  6 O 1.77-1.84
Si3 0.3345 0.0040 0.8010  6 O 1.77-1.85
Si4 0.3345 0.4960 0.3010  6 O 1.77-1.85
Si5 0.6655 0.5040 0.6990  6 O 1.77-1.85
Si6 0.6655 0.9960 0.1990  6 O 1.77-1.85
O1 0.1106 0.7123 0.2657  3 Si 1.77-1.84
O2 0.1106 0.7877 0.7657  3 Si 1.77-1.84
O3 0.2224 0.2280 0.0413  3 Si 1.78-1.83
O4 0.2224 0.2720 0.5413  3 Si 1.78-1.83
O5 0.4459 0.7320 0.6021  3 Si 1.78-1.85
O6 0.4459 0.7680 0.1021  3 Si 1.78-1.85
O7 0.5541 0.2320 0.8979  3 Si 1.78-1.85
O8 0.5541 0.2680 0.3979  3 Si 1.78-1.85
O9 0.7776 0.7280 0.4587  3 Si 1.78-1.83
O10 0.7776 0.7720 0.9587  3 Si 1.78-1.83
O11 0.8894 0.2123 0.2343  3 Si 1.77-1.84
O12 0.8894 0.2877 0.7343  3 Si 1.77-1.84

Properties
Magnetization (μB/atom): 0.000
Energy relative to the elements, uncorrected (kcal/mol of atoms): -59.0
Crystal system: monoclinic

=====

[8]
Below is a relaxed SiO2 crystal, with properties calculated at the PBE-GGA level.

Cell lengths 5.7676, 5.7676, 11.3148 Å; angles 90.00, 90.00, 93.98 degrees
With the nearest neighbours (Å) after each atom.
Fractional coordinates of all 24 atoms:
Si1 0.0095 0.3813 0.1286  4 O 1.61-1.65
Si2 0.1187 0.4905 0.6286  4 O 1.61-1.65
Si3 0.3813 0.0095 0.6286  4 O 1.61-1.65
Si4 0.4905 0.1187 0.1286  4 O 1.61-1.65
Si5 0.5095 0.8813 0.8714  4 O 1.61-1.65
Si6 0.6187 0.9905 0.3714  4 O 1.61-1.65
Si7 0.8813 0.5095 0.3714  4 O 1.61-1.65
Si8 0.9905 0.6187 0.8714  4 O 1.61-1.65
O1 0.0000 0.5000 0.0000  2 Si 1.61
O2 0.0000 0.5000 0.5000  2 Si 1.61
O3 0.0380 0.5380 0.2500  2 Si 1.65
O4 0.2500 0.2500 0.1264  2 Si 1.63
O5 0.2500 0.2500 0.6264  2 Si 1.63
O6 0.2500 0.7500 0.6362  2 Si 1.63
O7 0.2500 0.7500 0.8638  2 Si 1.63
O8 0.4620 0.9620 0.2500  2 Si 1.65
O9 0.5000 0.0000 0.0000  2 Si 1.61
O10 0.5000 0.0000 0.5000  2 Si 1.61
O11 0.5380 0.0380 0.7500  2 Si 1.65
O12 0.7500 0.2500 0.1362  2 Si 1.63
O13 0.7500 0.2500 0.3638  2 Si 1.63
O14 0.7500 0.7500 0.3736  2 Si 1.63
O15 0.7500 0.7500 0.8736  2 Si 1.63
O16 0.9620 0.4620 0.7500  2 Si 1.65

Properties
Magnetization (μB/atom): 0.000
Energy relative to the elements, uncorrected (kcal/mol of atoms): -60.9
Crystal system: orthorhombic

=====

Question: What is the energy relative to the elements, uncorrected in the sixth record?
Answer: -62.6 kcal/mol of atoms

=====

Please write out number 8 again, unchanged.
Below is a relaxed SiO2 crystal, with properties calculated at the PBE-GGA level.

Cell lengths 5.7676, 5.7676, 11.3148 Å; angles 90.00, 90.00, 93.98 degrees
With the nearest neighbours (Å) after each atom.
Fractional coordinates of all 24 atoms:
Si1 0.0095 0.3813 0.1286  4 O 1.61-1.65
Si2 0.1187 0.4905 0.6286  4 O 1.61-1.65
Si3 0.3813 0.0095 0.6286  4 O 1.61-1.65
Si4 0.4905 0.1187 0.1286  4 O 1.61-1.65
Si5 0.5095 0.8813 0.8714  4 O 1.61-1.65
Si6 0.6187 0.9905 0.3714  4 O 1.61-1.65
Si7 0.8813 0.5095 0.3714  4 O 1.61-1.65
Si8 0.9905 0.6187 0.8714  4 O 1.61-1.65
O1 0.0000 0.5000 0.0000  2 Si 1.61
O2 0.0000 0.5000 0.5000  2 Si 1.61
O3 0.0380 0.5380 0.2500  2 Si 1.65
O4 0.2500 0.2500 0.1264  2 Si 1.63
O5 0.2500 0.2500 0.6264  2 Si 1.63
O6 0.2500 0.7500 0.6362  2 Si 1.63
O7 0.2500 0.7500 0.8638  2 Si 1.63
O8 0.4620 0.9620 0.2500  2 Si 1.65
O9 0.5000 0.0000 0.0000  2 Si 1.61
O10 0.5000 0.0000 0.5000  2 Si 1.61
O11 0.5380 0.0380 0.7500  2 Si 1.65
O12 0.7500 0.2500 0.1362  2 Si 1.63
O13 0.7500 0.2500 0.3638  2 Si 1.63
O14 0.7500 0.7500 0.3736  2 Si 1.63
O15 0.7500 0.7500 0.8736  2 Si 1.63
O16 0.9620 0.4620 0.7500  2 Si 1.65

Properties
Magnetization (μB/atom): 0.000
Energy relative to the elements, uncorrected (kcal/mol of atoms): -60.9
Crystal system: orthorhombic